{"formula": "BaNb2GaSe", "functional": "PBE", "state": "relaxed", "crystal_system": "tetragonal", "magnetic_moment_mub_per_cell": 1.0, "dos_ef_per_ev_atom": 1.27, "space_group": "P4/mmm, No. 123", "dft_energy_ev_per_atom": -4.968, "lattice_angstrom": [[-4.378, 2.263, -0.224], [-2.590, -5.018, -0.061], [-0.224, 0.056, 4.928]], "species": ["Ga", "Ba", "Nb", "Nb", "Se"], "frac_coords": [[0.000, 0.000, 0.000], [0.500, 0.500, 0.500], [0.500, 0.000, 0.000], [0.000, 0.000, 0.500], [0.000, 0.500, 0.000]]}

---

{"formula": "BaTaNb2Ga", "functional": "PBE", "state": "relaxed", "crystal_system": "tetragonal", "magnetic_moment_mub_per_cell": 1.7, "dos_ef_per_ev_atom": 2.04, "space_group": "P4/mmm, No. 123", "formation_energy_ev_per_atom": 1.231, "lattice_angstrom": [[-3.568, -0.535, -3.528], [-1.310, -4.372, 1.987], [-3.312, 2.352, 2.993]], "species": ["Ta", "Nb", "Nb", "Ba", "Ga"], "frac_coords": [[0.000, 0.500, 0.000], [0.000, 0.000, 0.500], [0.500, 0.000, 0.000], [0.500, 0.500, 0.500], [0.000, 0.000, 0.000]]}

---

{"formula": "BaTiNb2Ga", "functional": "PBE", "state": "relaxed", "crystal_system": "tetragonal", "magnetic_moment_mub_per_cell": 0.7, "dos_ef_per_ev_atom": 2.11, "space_group": "P4/mmm, No. 123", "formation_energy_ev_per_atom": 1.365, "lattice_angstrom": [[-4.483, 1.996, -0.328], [-2.222, -5.161, -1.032], [-0.657, -0.682, 4.826]], "species": ["Nb", "Nb", "Ti", "Ba", "Ga"], "frac_coords": [[0.000, 0.000, 0.500], [0.500, 0.000, 0.000], [0.500, 0.500, 0.500], [0.000, 0.500, 0.000], [0.000, 0.000, 0.000]]}